No. 1
A geometry-optimized SnC2Se2 structure, computed with PBE.

## Properties
The uncorrected formation energy is 1.307 eV/atom. As for the electronic total energy: -45.77 eV for the cell shown. As for the energy above the most stable polymorph in this dataset: 18 meV per atom. The density of states at the Fermi level comes out at 0.6957 states/eV/atom.

a b c (Å): 4.794 4.794 7.194
angles (deg): 90.00 90.00 90.00
Space group I4/mmm (No. 139)
Unique sites:
Sn  0.000  0.000  0.000
C  0.000  0.000  0.408
Se  0.000  0.500  0.250

---

No. 2
A geometry-optimized ZrSi2Pt structure, computed with PBE.

## Properties
The uncorrected formation energy is -0.269 eV/atom. As for the electronic total energy: -79.53 eV for the cell shown. The density of states at the Fermi level comes out at 0.5043 states/eV/atom.

a b c (Å): 2.9914 2.9914 25.5044
angles (deg): 90.00 90.00 120.00
Space group R-3m (No. 166, hexagonal axes)
Unique sites:
Zr  0.0000  0.0000  0.0000
Si  0.0000  0.0000  0.2425
Pt  0.0000  0.0000  0.5000